Pm2Er3TmAs6 (PBE, relaxed); total energy = -6.1407 eV/atom; total moment = 0.000 μB per formula unit; calculated formation energy = -1.511 eV/atom
1.0
9.004 -2.067 0.000
9.004 2.067 0.000
-1.892 0.000 8.043
Pm Er Tm As
2 3 1 6
Cartesian
2.356 0.000 2.669
13.759 0.000 5.373
1.434 0.000 6.707
8.058 0.000 4.021
14.682 0.000 1.335
9.004 0.000 0.000
-1.376 0.000 6.052
4.268 0.000 7.432
5.262 0.000 3.308
10.853 0.000 4.735
11.848 0.000 0.611
17.491 0.000 1.990